# 1
AcGa2Pd: optimized geometry, PBE-GGA.

Summary:
Its relative energy among the computed polymorphs is 0.22 eV per formula unit. As for the total DFT energy (no corrections): -4.487 eV/atom. As for the volume: 355.7 Å³/cell. As for the formation enthalpy at 0 K: -0.648 eV/atom. The value obtained for the density is 8.8 Mg/m³. As for the crystal system: orthorhombic.

Unit cell a=8.6443 b=7.0292 c=5.8533 alpha=90.00 beta=90.00 gamma=90.00
Sites, in units of the cell vectors:
Ac 0.0448 0.2500 0.1301
Ac 0.4552 0.7500 0.6301
Ac 0.5448 0.2500 0.3699
Ac 0.9552 0.7500 0.8699
Ga 0.1820 0.0611 0.6168
Ga 0.1820 0.4389 0.6168
Ga 0.3180 0.5611 0.1168
Ga 0.3180 0.9389 0.1168
Ga 0.6820 0.0611 0.8832
Ga 0.6820 0.4389 0.8832
Ga 0.8180 0.5611 0.3832
Ga 0.8180 0.9389 0.3832
Pd 0.0960 0.7500 0.3623
Pd 0.4040 0.2500 0.8623
Pd 0.5960 0.7500 0.1377
Pd 0.9040 0.2500 0.6377

# 2
TaSbTe2Se: optimized geometry, PBE-GGA.

Summary:
Its relative energy among the computed polymorphs is 3.95 eV per formula unit. As for the total DFT energy (no corrections): -3.948 eV/atom. As for the volume: 147.9 Å³/cell. The calculation puts the uncorrected formation energy at 579 kJ/mol of formula units. The value obtained for the density is 7.1 Mg/m³. As for the crystal system: tetragonal.

Unit cell a=5.2809 b=5.2809 c=5.3049 alpha=90.00 beta=90.00 gamma=90.00
Sites, in units of the cell vectors:
Ta 0.0000 0.0000 0.0000
Sb 0.5000 0.5000 0.0000
Te 0.0000 0.5000 0.5000
Te 0.5000 0.0000 0.5000
Se 0.5000 0.5000 0.5000

Q: Look up the total DFT energy (no corrections) of the second one.
A: -3.948 eV/atom

Q: Look up the total DFT energy (no corrections) of the second one.
A: -3.948 eV/atom